[1]
A relaxed Pu2HgO crystal. Source: Alexandria, functional GGA-PBE.

Calculated density, g/cm3: 13.5
Space-group type: R3m
Formation energy from raw total energies, eV per atom: -1.1411
Total moment, μB/cell: 11.821
Total energy, eV/atom: -9.62
V, Å³ per atom: 21.7

Cell lengths 8.235, 8.235, 8.235 Å; angles 24.89, 24.89, 24.89 degrees
Element x y z (fractional)
Pu: 0.000 0.000 0.000
Pu: 0.216 0.216 0.216
Hg: 0.773 0.773 0.773
O: 0.605 0.605 0.605

=====

[2]
A relaxed Pu2HgO crystal. Source: Alexandria, functional GGA-PBE.

Calculated density, g/cm3: 13.2
Space-group type: R-3m
Formation energy from raw total energies, eV per atom: -1.1357
Total moment, μB/cell: 12.441
Total energy, eV/atom: -9.62
V, Å³ per atom: 22.2

Cell lengths 8.052, 8.052, 8.052 Å; angles 26.09, 26.09, 26.09 degrees
Element x y z (fractional)
Pu: 0.225 0.225 0.225
Pu: 0.775 0.775 0.775
Hg: 0.000 0.000 0.000
O: 0.500 0.500 0.500